Here is a geometry-optimized NaGa2OsI structure from Alexandria. Energies are from GGA-PBE.

Cell: 5.3537 5.3474 5.3537 Å, 90.00 90.00 90.00°
With the nearest neighbours (Å) after each atom.
Fractional coordinates of all 5 atoms:
I  0.0000  0.5000  0.0000  2 Na 2.67
Na  0.0000  0.0000  0.0000  2 I 2.67, 4 Ga 2.68
Os  0.5000  0.5000  0.5000  8 Ga 3.78, 4 I 3.79
Ga  0.0000  0.0000  0.5000  2 Na 2.68
Ga  0.5000  0.0000  0.0000  2 Na 2.68

Summary:
DOS(E_F) in states/eV/f.u.: 4.9
Volume in Å³ per cell: 153.3
Space-group type: P4/mmm, No. 123
E_form (uncorrected) in kcal/mol of atoms: 36.018